VASP calculation (PBE) on a geometry-optimized Sc2FePt structure.

```
data_Sc2FePt
_cell_length_a 4.484
_cell_length_b 4.484
_cell_length_c 3.287
_cell_angle_alpha 90.00
_cell_angle_beta 90.00
_cell_angle_gamma 90.00
_symmetry_space_group_name_H-M 'P 4/m m m'
_symmetry_Int_Tables_number 123
_symmetry_space_group_name_Hall '-P 4 2'
loop_
_atom_site_label
_atom_site_type_symbol
_atom_site_fract_x
_atom_site_fract_y
_atom_site_fract_z
Sc1 Sc 0.000 0.500 0.000
Fe1 Fe 0.000 0.000 0.500
Pt1 Pt 0.500 0.500 0.500
```

Values from the calculation:
The calculation puts the energy relative to the elements at -261 kJ/mol of formula units. The volume comes out at 16.5 A^3/atom. As for the crystal system: tetragonal. The raw total energy is -29.87 eV/f.u.

VASP calculation (PBE) on a geometry-optimized Nd8TlCu2 structure.

```
data_Nd8TlCu2
_cell_length_a 8.929
_cell_length_b 13.967
_cell_length_c 5.565
_cell_angle_alpha 90.00
_cell_angle_beta 106.61
_cell_angle_gamma 90.00
_symmetry_space_group_name_H-M 'C 1 2/m 1'
_symmetry_Int_Tables_number 12
_symmetry_space_group_name_Hall '-C 2y'
loop_
_atom_site_label
_atom_site_type_symbol
_atom_site_fract_x
_atom_site_fract_y
_atom_site_fract_z
Nd1 Nd 0.000 0.244 0.000
Nd2 Nd 0.104 0.500 0.807
Nd3 Nd 0.200 0.123 0.578
Tl1 Tl 0.000 0.000 0.000
Cu1 Cu 0.000 0.309 0.500
```

Values from the calculation:
The calculation puts the energy above the most stable polymorph in this dataset at 68 meV per atom. The calculation puts the energy relative to the elements at -41 kJ/mol of formula units. The volume comes out at 30.2 A^3/atom. As for the crystal system: monoclinic. The raw total energy is -49.13 eV/f.u.

VASP calculation (PBE) on a geometry-optimized Ce7Sn3 structure.

```
data_Ce7Sn3
_cell_length_a 17.937
_cell_length_b 4.737
_cell_length_c 6.783
_cell_angle_alpha 90.00
_cell_angle_beta 106.07
_cell_angle_gamma 90.00
_symmetry_space_group_name_H-M 'C 1 2/m 1'
_symmetry_Int_Tables_number 12
_symmetry_space_group_name_Hall '-C 2y'
loop_
_atom_site_label
_atom_site_type_symbol
_atom_site_fract_x
_atom_site_fract_y
_atom_site_fract_z
Ce1 Ce 0.000 0.000 0.000
Ce2 Ce 0.085 0.500 0.284
Ce3 Ce 0.119 0.500 0.802
Ce4 Ce 0.198 0.000 0.630
Sn1 Sn 0.000 0.000 0.500
Sn2 Sn 0.188 0.000 0.135
```

Values from the calculation:
The calculation puts the energy relative to the elements at -416 kJ/mol of formula units. The volume comes out at 27.7 A^3/atom. As for the crystal system: monoclinic. The raw total energy is -57.86 eV/f.u.

VASP calculation (PBE) on a geometry-optimized Tl3Ga5Au12 structure.

```
data_Tl3Ga5Au12
_cell_length_a 15.751
_cell_length_b 15.751
_cell_length_c 15.751
_cell_angle_alpha 90.00
_cell_angle_beta 90.00
_cell_angle_gamma 90.00
_symmetry_space_group_name_H-M 'I a -3 d'
_symmetry_Int_Tables_number 230
_symmetry_space_group_name_Hall '-I 4bd 2c 3'
loop_
_atom_site_label
_atom_site_type_symbol
_atom_site_fract_x
_atom_site_fract_y
_atom_site_fract_z
Tl1 Tl 0.000 0.250 0.125
Ga1 Ga 0.000 0.000 0.000
Ga2 Ga 0.000 0.250 0.375
Au1 Au 0.020 0.069 0.648
```

Values from the calculation:
The calculation puts the energy relative to the elements at 133 kJ/mol of formula units. The volume comes out at 24.4 A^3/atom. As for the crystal system: cubic. The raw total energy is -60.18 eV/f.u.

VASP calculation (PBE) on a geometry-optimized Ba4BiTe2Cl structure.

```
data_Ba4BiTe2Cl
_cell_length_a 9.951
_cell_length_b 14.108
_cell_length_c 9.951
_cell_angle_alpha 90.00
_cell_angle_beta 90.00
_cell_angle_gamma 90.00
_symmetry_space_group_name_H-M 'F m m 2'
_symmetry_Int_Tables_number 42
_symmetry_space_group_name_Hall 'F 2 -2'
loop_
_atom_site_label
_atom_site_type_symbol
_atom_site_fract_x
_atom_site_fract_y
_atom_site_fract_z
Ba1 Ba 0.000 0.246 0.000
Ba2 Ba 0.249 0.000 0.251
Bi1 Bi 0.000 0.000 0.000
Te1 Te 0.250 0.250 0.250
Cl1 Cl 0.000 0.000 0.499
```

Values from the calculation:
As for the raw formation energy: -13.2 eV per formula unit. The volume comes out at 43.7 A^3/atom. As for the crystal system: orthorhombic. The raw total energy is -32.90 eV/f.u.

VASP calculation (PBE) on a geometry-optimized HoTm4Mg4 structure.

```
data_HoTm4Mg4
_cell_length_a 6.867
_cell_length_b 6.867
_cell_length_c 11.370
_cell_angle_alpha 90.00
_cell_angle_beta 90.00
_cell_angle_gamma 90.00
_symmetry_space_group_name_H-M 'P 42/n m c'
_symmetry_Int_Tables_number 137
loop_
_symmetry_equiv_pos_as_xyz
'x,y,z'
'-x,-y,-z'
'-y+1/2,x,z+1/2'
'y+1/2,-x,-z+1/2'
'-x+1/2,-y+1/2,z'
'x+1/2,y+1/2,-z'
'y,-x+1/2,z+1/2'
'-y,x+1/2,-z+1/2'
'x+1/2,-y,-z'
'-x+1/2,y,z'
'-y,-x,-z+1/2'
'y,x,z+1/2'
'-x,y+1/2,-z'
'x,-y+1/2,z'
'y+1/2,x+1/2,-z+1/2'
'-y+1/2,-x+1/2,z+1/2'
loop_
_atom_site_label
_atom_site_type_symbol
_atom_site_fract_x
_atom_site_fract_y
_atom_site_fract_z
Ho1 Ho 0.250 0.750 0.250
Tm1 Tm 0.026 0.250 0.181
Mg1 Mg 0.025 0.250 0.472
```

Values from the calculation:
The calculation puts the energy relative to the elements at 237 kJ/mol of formula units. The volume comes out at 29.8 A^3/atom. As for the crystal system: tetragonal. The raw total energy is -26.39 eV/f.u.

VASP calculation (PBE) on a geometry-optimized NaInSnCl4 structure.

```
data_NaInSnCl4
_cell_length_a 8.433
_cell_length_b 7.137
_cell_length_c 8.567
_cell_angle_alpha 90.00
_cell_angle_beta 108.63
_cell_angle_gamma 90.00
_symmetry_space_group_name_H-M 'P 1 21/m 1'
_symmetry_Int_Tables_number 11
_symmetry_space_group_name_Hall '-P 2yb'
loop_
_atom_site_label
_atom_site_type_symbol
_atom_site_fract_x
_atom_site_fract_y
_atom_site_fract_z
Na1 Na 0.191 0.250 0.202
In1 In 0.497 0.250 0.804
Sn1 Sn 0.010 0.250 0.693
Cl1 Cl 0.105 0.750 0.054
Cl2 Cl 0.200 0.501 0.446
Cl3 Cl 0.461 0.250 0.109
```

Values from the calculation:
As for the raw formation energy: -7.9 eV per formula unit. The volume comes out at 34.9 A^3/atom. As for the crystal system: monoclinic. The raw total energy is -23.34 eV/f.u.

VASP calculation (PBE) on a geometry-optimized BeHg3 structure.

```
data_BeHg3
_cell_length_a 2.868
_cell_length_b 4.333
_cell_length_c 13.717
_cell_angle_alpha 90.00
_cell_angle_beta 90.00
_cell_angle_gamma 90.00
_symmetry_space_group_name_H-M 'I m m m'
_symmetry_Int_Tables_number 71
_symmetry_space_group_name_Hall '-I 2 2'
loop_
_atom_site_label
_atom_site_type_symbol
_atom_site_fract_x
_atom_site_fract_y
_atom_site_fract_z
Be1 Be 0.000 0.000 0.000
Hg1 Hg 0.000 0.000 0.500
Hg2 Hg 0.000 0.500 0.323
```

Values from the calculation:
The calculation puts the energy above the most stable polymorph in this dataset at 40 meV per atom. The calculation puts the energy relative to the elements at 99 kJ/mol of formula units. The volume comes out at 21.3 A^3/atom. As for the crystal system: orthorhombic. The raw total energy is -3.60 eV/f.u.

What did the first record say?
VASP calculation (PBE) on a geometry-optimized Sc2FePt structure.

```
data_Sc2FePt
_cell_length_a 4.484
_cell_length_b 4.484
_cell_length_c 3.287
_cell_angle_alpha 90.00
_cell_angle_beta 90.00
_cell_angle_gamma 90.00
_symmetry_space_group_name_H-M 'P 4/m m m'
_symmetry_Int_Tables_number 123
_symmetry_space_group_name_Hall '-P 4 2'
loop_
_atom_site_label
_atom_site_type_symbol
_atom_site_fract_x
_atom_site_fract_y
_atom_site_fract_z
Sc1 Sc 0.000 0.500 0.000
Fe1 Fe 0.000 0.000 0.500
Pt1 Pt 0.500 0.500 0.500
```

Values from the calculation:
The calculation puts the energy relative to the elements at -261 kJ/mol of formula units. The volume comes out at 16.5 A^3/atom. As for the crystal system: tetragonal. The raw total energy is -29.87 eV/f.u.